Entry from Alexandria via LeMat-Bulk: a geometry-optimized Ga2Co2O structure (PBE+U).

Geometry as POSCAR:
```
Ga2Co2O
1.0
3.462 0.000 0.000
0.000 3.462 0.000
1.731 1.731 5.915
O Co Ga
1 2 2
direct
0.000 0.000 0.000 O
0.594 0.594 0.812 Co
0.406 0.406 0.188 Co
0.750 0.250 0.500 Ga
0.250 0.750 0.500 Ga
```

The total energy comes out at -3.720 eV per atom. The value obtained for the density of states at the Fermi level is 1.19 states/eV per cell. Its symmetry is I4/mmm, No. 139. The excess energy over the best structure of this formula in the dataset is 530.9 meV/atom.